[1]
This record from the Alexandria database describes a relaxed structure of K3BaLi. The functional is PBE-GGA.

Unit cell a=7.9945 b=7.9945 c=7.9945 alpha=90.00 beta=90.00 gamma=90.00
Positions (direct):
K 0.0000 0.0000 0.5000
K 0.0000 0.5000 0.0000
K 0.5000 0.0000 0.0000
Ba 0.0000 0.0000 0.0000
Li 0.5000 0.5000 0.5000

Summary:
Energy relative to the elements in eV per atom: 0.65

***

[2]
This record from the Alexandria database describes a relaxed structure of Zr2V2Ga. The functional is PBE-GGA.

Unit cell a=9.2251 b=9.2251 c=9.2251 alpha=159.72 beta=159.72 gamma=28.83
Positions (direct):
Zr 0.1058 0.1058 0.0000
Zr 0.8942 0.8942 0.0000
V 0.2500 0.7500 0.5000
V 0.7500 0.2500 0.5000
Ga 0.5000 0.5000 0.0000

Summary:
Energy relative to the elements in eV per atom: 0.20

***

[3]
This record from the Alexandria database describes a relaxed structure of Zn2Cu2Ni3. The functional is PBE-GGA.

Unit cell a=4.4234 b=4.4234 c=5.7369 alpha=97.16 beta=97.16 gamma=48.52
Positions (direct):
Zn 0.0726 0.0726 0.2279
Zn 0.9274 0.9274 0.7721
Cu 0.3560 0.3560 0.0742
Cu 0.6440 0.6440 0.9258
Ni 0.2169 0.2169 0.6418
Ni 0.5000 0.5000 0.5000
Ni 0.7831 0.7831 0.3582

Summary:
Energy relative to the elements in eV per atom: -0.10

***

[4]
This record from the Alexandria database describes a relaxed structure of Sm2Dy5Sb4. The functional is PBE-GGA.

Unit cell a=8.9128 b=8.9128 c=11.1643 alpha=92.69 beta=92.69 gamma=22.72
Positions (direct):
Sm 0.1797 0.1797 0.3803
Sm 0.8203 0.8203 0.6197
Dy 0.1089 0.1089 0.0017
Dy 0.1445 0.1445 0.6727
Dy 0.5000 0.5000 0.5000
Dy 0.8555 0.8555 0.3273
Dy 0.8911 0.8911 0.9983
Sb 0.0159 0.0159 0.2342
Sb 0.2682 0.2682 0.1372
Sb 0.7318 0.7318 0.8628
Sb 0.9841 0.9841 0.7658

Summary:
Formation energy (no corrections) in meV per atom: -412.3

***

[5]
This record from the Alexandria database describes a relaxed structure of MgTl2Os. The functional is PBE-GGA.

Unit cell a=9.3477 b=9.3477 c=9.3477 alpha=20.04 beta=20.04 gamma=20.04
Positions (direct):
Mg 0.0000 0.0000 0.0000
Tl 0.2448 0.2448 0.2448
Tl 0.7552 0.7552 0.7552
Os 0.5000 0.5000 0.5000

Summary:
Energy relative to the elements in eV per atom: 0.65

***

[6]
This record from the Alexandria database describes a relaxed structure of MnNb2Pd2. The functional is PBE-GGA.

Unit cell a=6.9248 b=6.9248 c=3.4483 alpha=90.00 beta=90.00 gamma=90.00
Positions (direct):
Mn 0.0000 0.0000 0.0000
Mn 0.5000 0.5000 0.0000
Nb 0.1766 0.3234 0.5000
Nb 0.3234 0.8234 0.5000
Nb 0.6766 0.1766 0.5000
Nb 0.8234 0.6766 0.5000
Pd 0.1307 0.6307 0.0000
Pd 0.3693 0.1307 0.0000
Pd 0.6307 0.8693 0.0000
Pd 0.8693 0.3693 0.0000

Summary:
Energy relative to the elements in eV per atom: 0.26

***

[7]
This record from the Alexandria database describes a relaxed structure of PrGe2Pd8. The functional is PBE-GGA.

Unit cell a=5.6208 b=5.6208 c=7.2262 alpha=90.00 beta=90.00 gamma=90.00
Positions (direct):
Pr 0.0000 0.0000 0.0000
Ge 0.0000 0.5000 0.5000
Ge 0.5000 0.0000 0.5000
Pd 0.2560 0.2560 0.2892
Pd 0.2560 0.2560 0.7108
Pd 0.2560 0.7440 0.2892
Pd 0.2560 0.7440 0.7108
Pd 0.7440 0.2560 0.2892
Pd 0.7440 0.2560 0.7108
Pd 0.7440 0.7440 0.2892
Pd 0.7440 0.7440 0.7108

Summary:
Energy relative to the elements in eV per atom: -0.23

***

[8]
This record from the Alexandria database describes a relaxed structure of Ca2SnS4. The functional is PBE-GGA.

Unit cell a=11.7684 b=11.7684 c=3.9414 alpha=90.00 beta=90.00 gamma=120.00
Positions (direct):
Ca 0.0000 0.0000 0.0000
Ca 0.0000 0.2916 0.5000
Ca 0.2916 0.0000 0.5000
Ca 0.3333 0.6667 0.5000
Ca 0.6667 0.3333 0.5000
Ca 0.7084 0.7084 0.5000
Sn 0.0000 0.6598 0.0000
Sn 0.3402 0.3402 0.0000
Sn 0.6598 0.0000 0.0000
S 0.0000 0.5242 0.5000
S 0.0000 0.8267 0.5000
S 0.1733 0.1733 0.5000
S 0.1996 0.4440 0.0000
S 0.2444 0.8004 0.0000
S 0.4440 0.1996 0.0000
S 0.4758 0.4758 0.5000
S 0.5242 0.0000 0.5000
S 0.5560 0.7556 0.0000
S 0.7556 0.5560 0.0000
S 0.8004 0.2444 0.0000
S 0.8267 0.0000 0.5000

Summary:
Formation energy (no corrections) in meV per atom: -1325.1

***

[9]
This record from the Alexandria database describes a relaxed structure of LiCrCu. The functional is PBE-GGA.

Unit cell a=6.7274 b=2.6762 c=8.5810 alpha=90.00 beta=90.00 gamma=90.00
Positions (direct):
Li 0.1422 0.2500 0.0872
Li 0.3578 0.7500 0.5872
Li 0.6422 0.2500 0.4128
Li 0.8578 0.7500 0.9128
Cr 0.0534 0.2500 0.4134
Cr 0.4466 0.7500 0.9134
Cr 0.5534 0.2500 0.0866
Cr 0.9466 0.7500 0.5866
Cu 0.1540 0.2500 0.7860
Cu 0.3460 0.7500 0.2860
Cu 0.6540 0.2500 0.7140
Cu 0.8460 0.7500 0.2140

Summary:
Energy relative to the elements in eV per atom: 0.25

***

[10]
This record from the Alexandria database describes a relaxed structure of NaSrTbBr6. The functional is PBE-GGA.

Unit cell a=7.5548 b=7.5548 c=13.1705 alpha=90.00 beta=90.00 gamma=120.00
Positions (direct):
Na 0.0000 0.0000 0.0000
Na 0.0000 0.0000 0.5000
Sr 0.3333 0.6667 0.2500
Sr 0.6667 0.3333 0.7500
Tb 0.3333 0.6667 0.7500
Tb 0.6667 0.3333 0.2500
Br 0.0246 0.3599 0.6275
Br 0.0246 0.6647 0.8725
Br 0.3353 0.3599 0.8725
Br 0.3353 0.9754 0.6275
Br 0.3599 0.0246 0.1275
Br 0.3599 0.3353 0.3725
Br 0.6401 0.6647 0.6275
Br 0.6401 0.9754 0.8725
Br 0.6647 0.0246 0.3725
Br 0.6647 0.6401 0.1275
Br 0.9754 0.3353 0.1275
Br 0.9754 0.6401 0.3725

Summary:
Formation energy (no corrections) in meV per atom: -1882.4

***

[11]
This record from the Alexandria database describes a relaxed structure of CrOsW. The functional is PBE-GGA.

Unit cell a=6.6812 b=6.4970 c=2.6889 alpha=82.10 beta=74.41 gamma=23.49
Positions (direct):
Cr 0.0000 0.0000 0.0000
Os 0.3412 0.3412 0.6588
W 0.6639 0.6639 0.3361

Summary:
Energy relative to the elements in eV per atom: 0.28

***

[12]
This record from the Alexandria database describes a relaxed structure of YSbPt2. The functional is PBE-GGA.

Unit cell a=4.5632 b=4.5632 c=3.8838 alpha=90.00 beta=90.00 gamma=93.99
Positions (direct):
Y 0.0000 0.0000 0.0000
Sb 0.5000 0.5000 0.0000
Pt 0.0000 0.5000 0.5000
Pt 0.5000 0.0000 0.5000

Summary:
Formation energy (no corrections) in meV per atom: -794.5

***

[13]
This record from the Alexandria database describes a relaxed structure of CsVBr2Cl. The functional is PBE-GGA.

Unit cell a=5.3934 b=5.3934 c=5.0808 alpha=90.00 beta=90.00 gamma=90.00
Positions (direct):
Cs 0.0000 0.0000 0.0000
V 0.5000 0.5000 0.5000
Br 0.0000 0.5000 0.5000
Br 0.5000 0.0000 0.5000
Cl 0.5000 0.5000 0.0000

Summary:
Formation energy (no corrections) in meV per atom: -1232.7

***

[14]
This record from the Alexandria database describes a relaxed structure of CdInBr5. The functional is PBE-GGA.

Unit cell a=7.7036 b=7.7036 c=10.2164 alpha=109.15 beta=109.15 gamma=91.61
Positions (direct):
Cd 0.0000 0.0000 0.0000
Cd 0.0000 0.0000 0.5000
In 0.3827 0.6173 0.7500
In 0.6173 0.3827 0.2500
Br 0.0809 0.9191 0.2500
Br 0.2410 0.7156 0.5277
Br 0.2595 0.3378 0.1578
Br 0.2844 0.7590 0.9723
Br 0.3378 0.2595 0.6578
Br 0.6622 0.7405 0.3422
Br 0.7156 0.2410 0.0277
Br 0.7405 0.6622 0.8422
Br 0.7590 0.2844 0.4723
Br 0.9191 0.0809 0.7500

Summary:
Formation energy (no corrections) in meV per atom: -760.8

***

[15]
This record from the Alexandria database describes a relaxed structure of Nd2TmCd. The functional is PBE-GGA.

Unit cell a=5.5418 b=5.5418 c=5.5418 alpha=60.00 beta=60.00 gamma=60.00
Positions (direct):
Nd 0.2500 0.2500 0.2500
Nd 0.7500 0.7500 0.7500
Tm 0.0000 0.0000 0.0000
Cd 0.5000 0.5000 0.5000

Summary:
Energy relative to the elements in eV per atom: -0.06

***

[16]
This record from the Alexandria database describes a relaxed structure of CaReBr2. The functional is PBE-GGA.

Unit cell a=8.4638 b=8.4638 c=8.4638 alpha=27.49 beta=27.49 gamma=27.49
Positions (direct):
Ca 0.0000 0.0000 0.0000
Re 0.5000 0.5000 0.5000
Br 0.1198 0.1198 0.1198
Br 0.8802 0.8802 0.8802

Summary:
Formation energy (no corrections) in meV per atom: 442.7

***

[17]
This record from the Alexandria database describes a relaxed structure of La2Cu4Sn3Pb. The functional is PBE-GGA.

Unit cell a=4.5498 b=4.5498 c=10.7948 alpha=90.00 beta=90.00 gamma=90.00
Positions (direct):
La 0.0000 0.5000 0.2332
La 0.5000 0.0000 0.7668
Cu 0.0000 0.0000 0.0000
Cu 0.0000 0.5000 0.6403
Cu 0.5000 0.0000 0.3597
Cu 0.5000 0.5000 0.0000
Sn 0.0000 0.5000 0.8759
Sn 0.5000 0.0000 0.1241
Sn 0.5000 0.5000 0.5000
Pb 0.0000 0.0000 0.5000

Summary:
Energy relative to the elements in eV per atom: -0.41

***

[18]
This record from the Alexandria database describes a relaxed structure of YH2PdS. The functional is PBE-GGA.

Unit cell a=3.8347 b=3.8347 c=5.7820 alpha=90.00 beta=90.00 gamma=90.00
Positions (direct):
Y 0.0000 0.0000 0.0000
H 0.0000 0.5000 0.0000
H 0.5000 0.0000 0.0000
Pd 0.0000 0.0000 0.5000
S 0.5000 0.5000 0.5000

Summary:
Electronic total energy in eV per cell: -23.0

***

[19]
This record from the Alexandria database describes a relaxed structure of DyYBiS2. The functional is PBE-GGA.

Unit cell a=7.5830 b=7.5830 c=7.5830 alpha=145.39 beta=145.39 gamma=49.75
Positions (direct):
Dy 0.0000 0.0000 0.0000
Y 0.2935 0.2935 0.0000
Bi 0.6466 0.6466 0.0000
S 0.3973 0.8973 0.5000
S 0.8973 0.3973 0.5000

Summary:
Formation energy (no corrections) in meV per atom: -1289.3

***

[20]
This record from the Alexandria database describes a relaxed structure of Pr6Te3As2Se. The functional is PBE-GGA.

Unit cell a=9.9506 b=9.9506 c=8.9296 alpha=104.70 beta=104.70 gamma=25.38
Positions (direct):
Pr 0.0085 0.0085 0.2377
Pr 0.3262 0.3262 0.4330
Pr 0.3370 0.3370 0.8968
Pr 0.6630 0.6630 0.1032
Pr 0.6738 0.6738 0.5670
Pr 0.9915 0.9915 0.7623
Te 0.1653 0.1653 0.8332
Te 0.5000 0.5000 0.5000
Te 0.8347 0.8347 0.1668
As 0.1667 0.1667 0.3330
As 0.8333 0.8333 0.6670
Se 0.5000 0.5000 0.0000

Summary:
Formation energy (no corrections) in meV per atom: -1587.7

***

| no. | total magnetic moment (Bohr magnetons per cell) |
| --- | --- |
| 1 | 1.395 |
| 2 | 0.000 |
| 3 | 0.000 |
| 4 | 0.000 |
| 5 | 0.000 |
| 6 | 0.000 |
| 7 | 0.000 |
| 8 | 0.000 |
| 9 | 0.000 |
| 10 | 0.000 |
| 11 | 0.000 |
| 12 | 0.000 |
| 13 | 3.000 |
| 14 | 0.000 |
| 15 | 0.001 |
| 16 | 0.423 |
| 17 | 0.000 |
| 18 | 0.000 |
| 19 | 0.000 |
| 20 | 0.000 |